Density functional theory data (PBE) for a relaxed structure of PrDyMgAg.

Computed properties:
- density of states at the Fermi level (states/eV per cell) = 19.2
- ΔH_f (0 K) (eV per atom) = -0.13
- offset from the most stable computed form (meV per atom) = 50
- size of the total moment (Bohr magnetons per cell) = 0.0
- volume (Å³/cell) = 432.5

Unit cell a=7.5625 b=7.5625 c=7.5625 alpha=90.00 beta=90.00 gamma=90.00
Space group F-43m (No. 216)
Inequivalent atoms, fractional coordinates:
Pr (0.0000, 0.0000, 0.0000) [4 per cell]
Dy (0.0000, 0.0000, 0.5000) [4 per cell]
Mg (0.2500, 0.2500, 0.7500) [4 per cell]
Ag (0.2500, 0.2500, 0.2500) [4 per cell]

***

Density functional theory data (PBE) for a relaxed structure of PrDyMgAg.

Computed properties:
- density of states at the Fermi level (states/eV per cell) = 3.5
- ΔH_f (0 K) (eV per atom) = -0.18
- offset from the most stable computed form (meV per atom) = 0
- size of the total moment (Bohr magnetons per cell) = 0.0
- volume (Å³/cell) = 107.3

Unit cell a=3.7922 b=3.7922 c=7.4596 alpha=90.00 beta=90.00 gamma=90.00
Space group P4mm (No. 99)
Inequivalent atoms, fractional coordinates:
Pr (0.0000, 0.0000, 0.0000) [1 per cell]
Dy (0.0000, 0.0000, 0.4840) [1 per cell]
Mg (0.5000, 0.5000, 0.7312) [1 per cell]
Ag (0.5000, 0.5000, 0.2678) [1 per cell]

***

Density functional theory data (PBE) for a relaxed structure of DyMgAgPt.

Computed properties:
- density of states at the Fermi level (states/eV per cell) = 9.4
- ΔH_f (0 K) (eV per atom) = -0.69
- size of the total moment (Bohr magnetons per cell) = 0.0
- volume (Å³/cell) = 320.2

Unit cell a=6.8415 b=6.8415 c=6.8415 alpha=90.00 beta=90.00 gamma=90.00
Space group F-43m (No. 216)
Inequivalent atoms, fractional coordinates:
Dy (0.0000, 0.0000, 0.0000) [4 per cell]
Mg (0.0000, 0.0000, 0.5000) [4 per cell]
Ag (0.2500, 0.2500, 0.7500) [4 per cell]
Pt (0.2500, 0.2500, 0.2500) [4 per cell]

***

Density functional theory data (PBE) for a relaxed structure of DyMgAgRh.

Computed properties:
- density of states at the Fermi level (states/eV per cell) = 10.4
- ΔH_f (0 K) (eV per atom) = -0.47
- size of the total moment (Bohr magnetons per cell) = 0.0
- volume (Å³/cell) = 313.3

Unit cell a=6.7921 b=6.7921 c=6.7921 alpha=90.00 beta=90.00 gamma=90.00
Space group F-43m (No. 216)
Inequivalent atoms, fractional coordinates:
Dy (0.0000, 0.0000, 0.0000) [4 per cell]
Mg (0.0000, 0.0000, 0.5000) [4 per cell]
Ag (0.2500, 0.2500, 0.2500) [4 per cell]
Rh (0.2500, 0.2500, 0.7500) [4 per cell]

***

Density functional theory data (PBE) for a relaxed structure of DyMgSiAg.

Computed properties:
- density of states at the Fermi level (states/eV per cell) = 8.9
- E (eV for the cell shown) = -63.06
- size of the total moment (Bohr magnetons per cell) = 0.0
- volume (Å³/cell) = 326.1

Unit cell a=6.8830 b=6.8830 c=6.8830 alpha=90.00 beta=90.00 gamma=90.00
Space group F-43m (No. 216)
Inequivalent atoms, fractional coordinates:
Dy (0.0000, 0.0000, 0.0000) [4 per cell]
Mg (0.0000, 0.0000, 0.5000) [4 per cell]
Si (0.2500, 0.2500, 0.7500) [4 per cell]
Ag (0.2500, 0.2500, 0.2500) [4 per cell]

***

Density functional theory data (PBE) for a relaxed structure of SmDyMgAg.

Computed properties:
- density of states at the Fermi level (states/eV per cell) = 3.8
- ΔH_f (0 K) (eV per atom) = -0.19
- offset from the most stable computed form (meV per atom) = 0
- size of the total moment (Bohr magnetons per cell) = 0.0
- volume (Å³/cell) = 104.3

Unit cell a=3.7623 b=3.7623 c=7.3660 alpha=90.00 beta=90.00 gamma=90.00
Space group P4mm (No. 99)
Inequivalent atoms, fractional coordinates:
Sm (0.0000, 0.0000, 0.0000) [1 per cell]
Dy (0.0000, 0.0000, 0.4838) [1 per cell]
Mg (0.5000, 0.5000, 0.7364) [1 per cell]
Ag (0.5000, 0.5000, 0.2550) [1 per cell]

***

Density functional theory data (PBE) for a relaxed structure of SmDyMgAg.

Computed properties:
- density of states at the Fermi level (states/eV per cell) = 16.8
- ΔH_f (0 K) (eV per atom) = -0.14
- offset from the most stable computed form (meV per atom) = 44
- size of the total moment (Bohr magnetons per cell) = 0.0
- volume (Å³/cell) = 419.3

Unit cell a=7.4845 b=7.4845 c=7.4845 alpha=90.00 beta=90.00 gamma=90.00
Space group F-43m (No. 216)
Inequivalent atoms, fractional coordinates:
Sm (0.0000, 0.0000, 0.0000) [4 per cell]
Dy (0.0000, 0.0000, 0.5000) [4 per cell]
Mg (0.2500, 0.2500, 0.2500) [4 per cell]
Ag (0.2500, 0.2500, 0.7500) [4 per cell]

***

Density functional theory data (PBE) for a relaxed structure of DyMg2Ag2Sn2.

Computed properties:
- density of states at the Fermi level (states/eV per cell) = 6.5
- ΔH_f (0 K) (eV per atom) = -0.33
- size of the total moment (Bohr magnetons per cell) = 0.0
- volume (Å³/cell) = 467.1

Unit cell a=4.6551 b=4.6551 c=24.8896 alpha=90.00 beta=90.00 gamma=120.00
Space group R-3m (No. 166, hexagonal axes)
Inequivalent atoms, fractional coordinates:
Dy (0.0000, 0.0000, 0.0000) [3 per cell]
Mg (0.0000, 0.0000, 0.1382) [6 per cell]
Ag (0.0000, 0.0000, 0.4401) [6 per cell]
Sn (0.0000, 0.0000, 0.2661) [6 per cell]

***

Density functional theory data (PBE) for a relaxed structure of DyMgAgTe3.

Computed properties:
- E (eV for the cell shown) = -47.11
- size of the total moment (Bohr magnetons per cell) = 0.0
- volume (Å³/cell) = 332.5

Unit cell a=8.4646 b=4.2096 c=9.5785 alpha=90.00 beta=103.07 gamma=90.00
Space group P2_1/m (No. 11)
Inequivalent atoms, fractional coordinates:
Dy (0.1892, 0.2500, 0.2456) [2 per cell]
Mg (0.3339, 0.7500, 0.8311) [2 per cell]
Ag (0.0874, 0.2500, 0.5822) [2 per cell]
Te (0.0852, 0.2500, 0.8741) [2 per cell]
Te (0.2800, 0.7500, 0.5043) [2 per cell]
Te (0.4136, 0.7500, 0.1438) [2 per cell]

***

Density functional theory data (PBE) for a relaxed structure of DyThMgAg.

Computed properties:
- density of states at the Fermi level (states/eV per cell) = 16.6
- ΔH_f (0 K) (eV per atom) = -0.01
- size of the total moment (Bohr magnetons per cell) = 2.3
- volume (Å³/cell) = 424.2

Unit cell a=7.5135 b=7.5135 c=7.5135 alpha=90.00 beta=90.00 gamma=90.00
Space group F-43m (No. 216)
Inequivalent atoms, fractional coordinates:
Dy (0.0000, 0.0000, 0.0000) [4 per cell]
Th (0.0000, 0.0000, 0.5000) [4 per cell]
Mg (0.2500, 0.2500, 0.2500) [4 per cell]
Ag (0.2500, 0.2500, 0.7500) [4 per cell]

***

Density functional theory data (PBE) for a relaxed structure of DyMg2Tl2Ag2.

Computed properties:
- density of states at the Fermi level (states/eV per cell) = 10.5
- ΔH_f (0 K) (eV per atom) = -0.14
- size of the total moment (Bohr magnetons per cell) = 0.0
- volume (Å³/cell) = 495.4

Unit cell a=4.8797 b=4.8797 c=24.0225 alpha=90.00 beta=90.00 gamma=120.00
Space group R-3m (No. 166, hexagonal axes)
Inequivalent atoms, fractional coordinates:
Dy (0.0000, 0.0000, 0.0000) [3 per cell]
Mg (0.0000, 0.0000, 0.1338) [6 per cell]
Tl (0.0000, 0.0000, 0.3956) [6 per cell]
Ag (0.0000, 0.0000, 0.2508) [6 per cell]

***

Density functional theory data (PBE) for a relaxed structure of DyTmMgAg.

Computed properties:
- density of states at the Fermi level (states/eV per cell) = 3.9
- ΔH_f (0 K) (eV per atom) = -0.19
- offset from the most stable computed form (meV per atom) = 0
- size of the total moment (Bohr magnetons per cell) = 0.0
- volume (Å³/cell) = 99.8

Unit cell a=3.7029 b=3.7029 c=7.2782 alpha=90.00 beta=90.00 gamma=90.00
Space group P4mm (No. 99)
Inequivalent atoms, fractional coordinates:
Dy (0.0000, 0.0000, 0.0000) [1 per cell]
Tm (0.0000, 0.0000, 0.4800) [1 per cell]
Mg (0.5000, 0.5000, 0.7365) [1 per cell]
Ag (0.5000, 0.5000, 0.2475) [1 per cell]